The following is a GGA-PBE calculation of CaZn4Ga after structural relaxation, from Alexandria via LeMat-Bulk.

Summary:
The final energy is -10.84 eV/f.u. Its crystal system is cubic. For the density of states at the Fermi level, the calculation gives 0.348 states/eV per atom. As for the formation energy: -119 meV/atom. The calculation puts the density at 5.495 g/cm³. The value obtained for the total magnetization is 0.00 μB per cell.

Unit cell a=5.415 b=5.415 c=5.415 alpha=60.00 beta=60.00 gamma=60.00
Element x y z (fractional)
Ca 0.000 0.000 0.000
Zn 0.124 0.625 0.625
Zn 0.625 0.124 0.625
Zn 0.625 0.625 0.124
Zn 0.625 0.625 0.625
Ga 0.250 0.250 0.250